[1]
DFT (PBE-GGA) results for crystalline Ce5HgPb6 at its relaxed geometry.

a = 4.9356 Å, b = 9.3741 Å, c = 15.2205 Å
α = 90.00°, β = 90.00°, γ = 90.00°
Closest atoms and distances in Å follow each position.
Space group Immm (No. 71)
Asymmetric unit:
Ce1 0.0000 0.0000 0.0000 (multiplicity 2)  8 Pb 3.32-3.47, 4 Ce 3.58
Ce2 0.0000 0.0000 0.3556 (multiplicity 4)  8 Pb 3.30-3.64, 2 Hg 3.30
Ce3 0.0000 0.5000 0.3298 (multiplicity 4)  8 Pb 3.38-3.41, 4 Ce 3.58-3.75
Hg1 0.0000 0.5000 0.0000 (multiplicity 2)  4 Ce 3.30, 8 Pb 3.49-3.52
Pb1 0.0000 0.2459 0.1702 (multiplicity 8)  7 Ce 3.38-3.64, 4 Pb 3.46-3.58, 1 Hg 3.52
Pb2 0.0000 0.2628 0.5000 (multiplicity 4)  6 Ce 3.30-3.41, 2 Hg 3.49, 4 Pb 3.58

As for the volume: 704 Å³ per cell. The size of the total moment is 6.11 Bohr magnetons per cell. The calculation puts the total energy at -4.7163 eV per atom.

=====

[2]
DFT (PBE-GGA) results for crystalline Ce3Hg2Pb3 at its relaxed geometry.

a = 4.7547 Å, b = 4.7854 Å, c = 20.0534 Å
α = 90.00°, β = 90.00°, γ = 90.00°
Closest atoms and distances in Å follow each position.
Space group Immm (No. 71)
Asymmetric unit:
Ce1 0.0000 0.0000 0.0000 (multiplicity 2)  8 Pb 3.37-3.48, 4 Ce 3.66
Ce2 0.0000 0.5000 0.3611 (multiplicity 4)  4 Hg 3.23-3.29, 4 Pb 3.38
Hg1 0.0000 0.0000 0.2526 (multiplicity 4)  4 Ce 3.23-3.29, 4 Hg 3.37, 4 Pb 3.40-3.49
Pb1 0.0000 0.0000 0.5000 (multiplicity 2)  8 Ce 3.37-3.67, 4 Pb 3.47
Pb2 0.0000 0.5000 0.1262 (multiplicity 4)  6 Ce 3.38-3.48, 4 Hg 3.40-3.49, 2 Pb 3.47

As for the volume: 456 Å³ per cell. The size of the total moment is 7.31 Bohr magnetons per cell. Its excess energy over the best structure of this formula in the dataset is 0 meV/atom.

=====

[3]
DFT (PBE-GGA) results for crystalline Ce4Hg3Pb2 at its relaxed geometry.

a = 9.1258 Å, b = 5.2562 Å, c = 10.6254 Å
α = 90.00°, β = 90.16°, γ = 90.00°
Closest atoms and distances in Å follow each position.
Space group C2/m (No. 12)
Asymmetric unit:
Ce1 0.0001 0.0000 0.1302 (multiplicity 4)  1 Ce 2.77
Ce2 0.1668 0.5000 0.3803 (multiplicity 4)  3 Pb 3.22, 3 Hg 3.29
Hg1 0.0000 0.0000 0.5000 (multiplicity 2)  6 Ce 3.29
Hg2 0.1668 0.5000 0.0402 (multiplicity 4)  3 Hg 3.15-3.16, 3 Ce 3.18-3.19, 1 Pb 3.41
Pb1 0.1664 0.5000 0.7194 (multiplicity 4)  6 Ce 3.22-3.43, 1 Hg 3.41

As for the volume: 510 Å³ per cell. The size of the total moment is 6.76 Bohr magnetons per cell. Its excess energy over the best structure of this formula in the dataset is 0 meV/atom.

=====

[4]
DFT (PBE-GGA) results for crystalline CeHg4Pb at its relaxed geometry.

a = 8.6481 Å, b = 8.6481 Å, c = 8.6481 Å
α = 90.00°, β = 90.00°, γ = 90.00°
Closest atoms and distances in Å follow each position.
Space group F-43m (No. 216)
Asymmetric unit:
Ce1 0.0000 0.0000 0.0000 (multiplicity 4)  12 Hg 3.59, 4 Pb 3.74
Hg1 0.1250 0.1250 0.3750 (multiplicity 16)  6 Hg 3.06
Pb1 0.2500 0.2500 0.7500 (multiplicity 4)  12 Hg 3.59, 4 Ce 3.74

As for the volume: 647 Å³ per cell. The size of the total moment is 4.96 Bohr magnetons per cell. Its excess energy over the best structure of this formula in the dataset is 152 meV/atom.

=====

[5]
DFT (PBE-GGA) results for crystalline CeHg2Pb2 at its relaxed geometry.

a = 3.5058 Å, b = 5.1440 Å, c = 32.6329 Å
α = 90.00°, β = 90.00°, γ = 90.00°
Closest atoms and distances in Å follow each position.
Space group Imma (No. 74)
Asymmetric unit:
Ce1 0.0000 0.2500 0.0666 (multiplicity 4)  10 Hg 3.37-3.44, 2 Ce 3.51, 2 Pb 3.69
Hg1 0.0000 0.2500 0.5216 (multiplicity 4)  3 Hg 2.93-2.94
Hg2 0.0000 0.2500 0.6116 (multiplicity 4)  1 Hg 2.94, 2 Pb 3.12
Pb1 0.0000 0.2500 0.3340 (multiplicity 4)  2 Hg 3.12, 4 Pb 3.36
Pb2 0.0000 0.2500 0.7953 (multiplicity 4)  8 Pb 3.36-3.51, 2 Hg 3.51

As for the volume: 589 Å³ per cell. The size of the total moment is 5.77 Bohr magnetons per cell. The calculation puts the total energy at -2.9452 eV per atom.

=====

[6]
DFT (PBE-GGA) results for crystalline Ce12Hg6Pb at its relaxed geometry.

a = 11.0702 Å, b = 11.0702 Å, c = 14.5650 Å
α = 90.00°, β = 90.00°, γ = 120.00°
Closest atoms and distances in Å follow each position.
Space group R-3 (No. 148, hexagonal axes)
Asymmetric unit:
Ce1 0.0569 0.2120 0.4403 (multiplicity 18)  2 Ce 2.73
Ce2 0.0567 0.8818 0.8059 (multiplicity 18)  3 Ce 2.96-3.21, 1 Hg 3.29, 1 Pb 3.30
Hg1 0.0249 0.6027 0.6950 (multiplicity 18)  1 Pb 3.15, 2 Hg 3.23, 7 Ce 3.24-3.47
Pb1 0.0000 0.0000 0.0000 (multiplicity 3)  6 Hg 3.15, 6 Ce 3.30

As for the volume: 1546 Å³ per cell. The size of the total moment is 23.64 Bohr magnetons per cell. The calculation puts the total energy at -4.1731 eV per atom.

=====

[7]
DFT (PBE-GGA) results for crystalline Ce6HgPb at its relaxed geometry.

a = 4.8154 Å, b = 4.8154 Å, c = 9.5647 Å
α = 90.00°, β = 90.00°, γ = 90.00°
Closest atoms and distances in Å follow each position.
Space group P4/mmm (No. 123)
Asymmetric unit:
Ce1 0.0000 0.0000 0.0000 (multiplicity 1)  8 Ce 3.38, 4 Hg 3.41
Ce2 0.0000 0.0000 0.5000 (multiplicity 1)  4 Pb 3.41, 8 Ce 3.41
Ce3 0.0000 0.5000 0.2477 (multiplicity 4)  2 Hg 3.38, 8 Ce 3.38-3.41, 2 Pb 3.41
Hg1 0.5000 0.5000 0.0000 (multiplicity 1)  12 Ce 3.38-3.41
Pb1 0.5000 0.5000 0.5000 (multiplicity 1)  12 Ce 3.41

As for the volume: 222 Å³ per cell. The size of the total moment is 6.07 Bohr magnetons per cell. Its excess energy over the best structure of this formula in the dataset is 0 meV/atom.

=====

[8]
DFT (PBE-GGA) results for crystalline CeHg4Pb at its relaxed geometry.

a = 8.9384 Å, b = 5.1612 Å, c = 6.8212 Å
α = 90.00°, β = 90.42°, γ = 90.00°
Closest atoms and distances in Å follow each position.
Space group C2/m (No. 12)
Asymmetric unit:
Ce1 0.0000 0.0000 0.0000 (multiplicity 2)  12 Hg 3.38-3.39, 2 Pb 3.41
Hg1 0.1662 0.5000 0.7627 (multiplicity 4)  4 Hg 2.98-3.22
Hg2 0.1670 0.5000 0.2355 (multiplicity 4)  4 Hg 2.98-3.22
Pb1 0.0000 0.0000 0.5000 (multiplicity 2)  2 Ce 3.41, 12 Hg 3.47-3.49

As for the volume: 315 Å³ per cell. The size of the total moment is 2.12 Bohr magnetons per cell. Its excess energy over the best structure of this formula in the dataset is 0 meV/atom.

=====

[9]
DFT (PBE-GGA) results for crystalline Ce2Hg6Pb at its relaxed geometry.

a = 14.0465 Å, b = 4.5901 Å, c = 7.7847 Å
α = 90.00°, β = 108.26°, γ = 90.00°
Closest atoms and distances in Å follow each position.
Space group C2/m (No. 12)
Asymmetric unit:
Ce1 0.0709 0.0000 0.3266 (multiplicity 4)  9 Hg 3.26-3.44, 2 Pb 3.34
Hg1 0.1095 0.5000 0.6630 (multiplicity 4)  6 Hg 3.15-3.49, 4 Ce 3.40-3.44, 1 Pb 3.43
Hg2 0.1636 0.0000 0.9866 (multiplicity 4)  7 Hg 3.10-3.32, 2 Pb 3.27, 2 Ce 3.30-3.43
Hg3 0.2327 0.5000 0.3108 (multiplicity 4)  5 Hg 3.10-3.32, 3 Ce 3.26-3.27, 1 Pb 3.40
Pb1 0.0000 0.5000 0.0000 (multiplicity 2)  8 Hg 3.27-3.43, 4 Ce 3.34

As for the volume: 477 Å³ per cell. The size of the total moment is 4.63 Bohr magnetons per cell. Its excess energy over the best structure of this formula in the dataset is 26 meV/atom.

=====

[10]
DFT (PBE-GGA) results for crystalline Ce4Hg2Pb at its relaxed geometry.

a = 6.0162 Å, b = 6.0162 Å, c = 12.4352 Å
α = 90.00°, β = 90.00°, γ = 90.00°
Closest atoms and distances in Å follow each position.
Space group I4/mmm (No. 139)
Asymmetric unit:
Ce1 0.0000 0.5000 0.0000 (multiplicity 4)  2 Pb 3.01, 2 Ce 3.11
Ce2 0.0000 0.5000 0.2500 (multiplicity 4)  2 Ce 3.11, 4 Hg 3.35
Hg1 0.0000 0.0000 0.1306 (multiplicity 4)  1 Hg 3.25, 8 Ce 3.35-3.42
Pb1 0.0000 0.0000 0.5000 (multiplicity 2)  4 Ce 3.01

As for the volume: 450 Å³ per cell. The size of the total moment is 11.40 Bohr magnetons per cell. The calculation puts the total energy at -3.8967 eV per atom.

=====

[11]
DFT (PBE-GGA) results for crystalline CeHg3Pb at its relaxed geometry.

a = 5.6169 Å, b = 9.0624 Å, c = 10.9731 Å
α = 90.00°, β = 90.00°, γ = 90.00°
Closest atoms and distances in Å follow each position.
Space group Imma (No. 74)
Asymmetric unit:
Ce1 0.0000 0.2500 0.0078 (multiplicity 4)  7 Hg 3.27-3.51, 4 Pb 3.61
Hg1 0.0000 0.2500 0.3055 (multiplicity 4)  6 Hg 3.06-3.36, 2 Pb 3.11, 1 Ce 3.27
Hg2 0.2500 0.0801 0.7500 (multiplicity 8)  3 Hg 2.81-3.08
Pb1 0.0000 0.0000 0.5000 (multiplicity 4)  6 Hg 3.11-3.17

As for the volume: 559 Å³ per cell. The size of the total moment is 4.35 Bohr magnetons per cell. The calculation puts the total energy at -2.2289 eV per atom.

=====

[12]
DFT (PBE-GGA) results for crystalline CeHgPb2 at its relaxed geometry.

a = 5.4384 Å, b = 5.4384 Å, c = 13.5822 Å
α = 90.00°, β = 90.00°, γ = 120.00°
Closest atoms and distances in Å follow each position.
Space group R-3m (No. 166, hexagonal axes)
Asymmetric unit:
Ce1 0.0000 0.0000 0.0000 (multiplicity 3)  8 Pb 3.34-3.38
Hg1 0.0000 0.0000 0.5000 (multiplicity 3)  8 Pb 3.33-3.41
Pb1 0.0000 0.0000 0.2487 (multiplicity 6)  4 Hg 3.33-3.41, 4 Ce 3.34-3.38

As for the volume: 348 Å³ per cell. The size of the total moment is 4.43 Bohr magnetons per cell. Its excess energy over the best structure of this formula in the dataset is 264 meV/atom.

=====

[13]
DFT (PBE-GGA) results for crystalline Ce7Hg3Pb at its relaxed geometry.

a = 11.1600 Å, b = 11.0369 Å, c = 5.8638 Å
α = 90.00°, β = 115.46°, γ = 90.00°
Closest atoms and distances in Å follow each position.
Space group C2/m (No. 12)
Asymmetric unit:
Ce1 0.0000 0.0000 0.0000 (multiplicity 2)  2 Pb 2.93, 2 Hg 3.03
Ce2 0.1816 0.2573 0.6490 (multiplicity 8)  1 Ce 2.78
Ce3 0.1896 0.5000 0.1713 (multiplicity 4)  3 Hg 3.14-3.42, 2 Ce 3.15, 1 Pb 3.16
Hg1 0.0000 0.2750 0.0000 (multiplicity 4)  5 Ce 3.03-3.27
Hg2 0.0000 0.5000 0.5000 (multiplicity 2)  8 Ce 3.24-3.58
Pb1 0.0000 0.0000 0.5000 (multiplicity 2)  4 Ce 2.93-3.16

As for the volume: 652 Å³ per cell. The size of the total moment is 13.14 Bohr magnetons per cell. The calculation puts the total energy at -4.2875 eV per atom.

=====

[14]
DFT (PBE-GGA) results for crystalline Ce2Hg6Pb at its relaxed geometry.

a = 8.9149 Å, b = 8.9149 Å, c = 10.1831 Å
α = 90.00°, β = 90.00°, γ = 120.00°
Closest atoms and distances in Å follow each position.
Space group R-3m (No. 166, hexagonal axes)
Asymmetric unit:
Ce1 0.0000 0.0000 0.1723 (multiplicity 6)  1 Pb 3.34, 12 Hg 3.40-3.44, 1 Ce 3.51
Hg1 0.0000 0.3318 0.0000 (multiplicity 18)  3 Hg 2.96-3.00
Pb1 0.0000 0.0000 0.5000 (multiplicity 3)  2 Ce 3.34, 12 Hg 3.43

As for the volume: 701 Å³ per cell. The size of the total moment is 6.81 Bohr magnetons per cell. Its excess energy over the best structure of this formula in the dataset is 0 meV/atom.

=====

[15]
DFT (PBE-GGA) results for crystalline Ce5HgPb3 at its relaxed geometry.

a = 9.6698 Å, b = 9.6698 Å, c = 6.6395 Å
α = 90.00°, β = 90.00°, γ = 120.00°
Closest atoms and distances in Å follow each position.
Space group P6_3/mcm (No. 193)
Asymmetric unit:
Ce1 0.0000 0.2910 0.2500 (multiplicity 6)  5 Pb 3.25-3.40, 2 Hg 3.27
Ce2 0.3333 0.6667 0.0000 (multiplicity 4)  2 Ce 3.32, 6 Pb 3.49
Hg1 0.0000 0.0000 0.0000 (multiplicity 2)  6 Ce 3.27, 2 Hg 3.32
Pb1 0.0000 0.3675 0.7500 (multiplicity 6)  9 Ce 3.25-3.49

As for the volume: 538 Å³ per cell. The size of the total moment is 14.72 Bohr magnetons per cell. The calculation puts the total energy at -4.9754 eV per atom.

=====

[16]
DFT (PBE-GGA) results for crystalline Ce2HgPb4 at its relaxed geometry.

a = 9.2912 Å, b = 9.6834 Å, c = 4.7951 Å
α = 90.00°, β = 90.00°, γ = 90.00°
Closest atoms and distances in Å follow each position.
Space group Cmmm (No. 65)
Asymmetric unit:
Ce1 0.0000 0.2435 0.0000 (multiplicity 4)  8 Pb 3.31-3.41, 2 Hg 3.36
Hg1 0.0000 0.0000 0.5000 (multiplicity 2)  8 Pb 3.35-3.43, 4 Ce 3.36
Pb1 0.2353 0.5000 0.0000 (multiplicity 4)  4 Ce 3.31-3.41, 4 Pb 3.41, 2 Hg 3.43
Pb2 0.2500 0.2500 0.5000 (multiplicity 4)  4 Ce 3.34, 2 Hg 3.35, 4 Pb 3.41

As for the volume: 431 Å³ per cell. The size of the total moment is 3.87 Bohr magnetons per cell. The calculation puts the total energy at -4.1450 eV per atom.

=====

[17]
DFT (PBE-GGA) results for crystalline Ce4HgPb at its relaxed geometry.

a = 5.1258 Å, b = 6.3052 Å, c = 9.4817 Å
α = 90.00°, β = 90.00°, γ = 90.00°
Closest atoms and distances in Å follow each position.
Space group Immm (No. 71)
Asymmetric unit:
Ce1 0.0000 0.2408 0.1767 (multiplicity 8)  3 Ce 2.92-3.04
Hg1 0.0000 0.5000 0.5000 (multiplicity 2)  2 Pb 3.15, 12 Ce 3.42-3.47
Pb1 0.0000 0.0000 0.5000 (multiplicity 2)  2 Hg 3.15, 12 Ce 3.42-3.47

As for the volume: 306 Å³ per cell. The size of the total moment is 5.73 Bohr magnetons per cell. Its excess energy over the best structure of this formula in the dataset is 0 meV/atom.

=====

[18]
DFT (PBE-GGA) results for crystalline Ce2Hg4Pb3 at its relaxed geometry.

a = 6.3595 Å, b = 15.0330 Å, c = 10.7639 Å
α = 90.00°, β = 90.00°, γ = 90.00°
Closest atoms and distances in Å follow each position.
Space group Cmce (No. 64)
Asymmetric unit:
Ce1 0.0000 0.0927 0.0288 (multiplicity 8)  1 Ce 2.86, 1 Hg 3.18
Hg1 0.0000 0.1972 0.4978 (multiplicity 8)  5 Pb 2.96-3.24, 1 Ce 3.18
Hg2 0.2500 0.0367 0.7500 (multiplicity 8)  3 Pb 3.17-3.20, 2 Hg 3.18, 4 Ce 3.46-3.50
Pb1 0.0000 0.0000 0.5000 (multiplicity 4)  6 Hg 2.96-3.17
Pb2 0.2500 0.2494 0.7500 (multiplicity 8)  2 Pb 3.18, 5 Hg 3.20-3.24

As for the volume: 1029 Å³ per cell. The size of the total moment is 8.41 Bohr magnetons per cell. Its excess energy over the best structure of this formula in the dataset is 140 meV/atom.

=====

[19]
DFT (PBE-GGA) results for crystalline Ce7Hg4Pb at its relaxed geometry.

a = 14.5966 Å, b = 6.0927 Å, c = 9.3077 Å
α = 90.00°, β = 122.29°, γ = 90.00°
Closest atoms and distances in Å follow each position.
Space group C2/m (No. 12)
Asymmetric unit:
Ce1 0.0000 0.0000 0.0000 (multiplicity 2)  4 Hg 3.04-3.10, 2 Pb 3.05
Ce2 0.0408 0.5000 0.3960 (multiplicity 4)  2 Ce 2.76-2.84
Ce3 0.1795 0.5000 0.8766 (multiplicity 4)  1 Ce 2.84
Ce4 0.2381 0.0000 0.7064 (multiplicity 4)  4 Hg 3.01-3.28, 1 Pb 3.31
Hg1 0.0273 0.0000 0.6921 (multiplicity 4)  4 Ce 3.01-3.17, 2 Hg 3.20-3.22
Hg2 0.2054 0.0000 0.3523 (multiplicity 4)  6 Ce 3.04-3.34, 1 Hg 3.20
Pb1 0.0000 0.5000 0.0000 (multiplicity 2)  8 Ce 3.05-3.41

As for the volume: 700 Å³ per cell. The size of the total moment is 13.29 Bohr magnetons per cell. The calculation puts the total energy at -4.0176 eV per atom.

=====

[20]
DFT (PBE-GGA) results for crystalline Ce6Hg4Pb7 at its relaxed geometry.

a = 10.2119 Å, b = 10.2119 Å, c = 10.2119 Å
α = 90.00°, β = 90.00°, γ = 90.00°
Closest atoms and distances in Å follow each position.
Space group Im-3m (No. 229)
Asymmetric unit:
Ce1 0.0000 0.0000 0.3013 (multiplicity 12)  5 Pb 3.08-3.26
Hg1 0.2500 0.2500 0.2500 (multiplicity 8)  6 Pb 3.61, 6 Ce 3.65
Pb1 0.0000 0.0000 0.0000 (multiplicity 2)  6 Ce 3.08
Pb2 0.0000 0.2500 0.5000 (multiplicity 12)  4 Ce 3.26, 4 Hg 3.61, 4 Pb 3.61

As for the volume: 1065 Å³ per cell. The size of the total moment is 12.18 Bohr magnetons per cell. The calculation puts the total energy at -3.7659 eV per atom.

=====

no.,density of states at the Fermi level (states/eV per atom)
1,2.9137
2,2.5783
3,2.8235
4,1.8526
5,1.4812
6,2.5239
7,3.1785
8,1.4376
9,1.7474
10,4.0887
11,1.8097
12,1.8261
13,3.4228
14,1.6450
15,2.6379
16,1.6072
17,2.7261
18,1.5615
19,3.0795
20,2.8763